[1]
Pm2Tl2IrO6 after structural relaxation, computed with PBE-GGA.

extended XYZ file:
```
11
Lattice="-3.091 -4.987 -1.074 3.215 0.532 4.996 -5.231 3.767 2.009" Properties=species:S:1:pos:R:3 pbc="T T T"
Pm -1.519 0.561 3.961
Pm -3.588 -1.249 1.970
Tl -2.089 -4.111 -0.110
Tl 2.213 -0.345 4.032
Ir -2.616 1.883 1.005
O -3.455 -0.823 4.337
O -2.487 2.483 3.000
O -1.653 0.135 1.594
O -4.399 0.810 1.159
O -2.620 -3.172 2.931
O -0.708 -1.498 4.772
```

Values from the calculation:
uncorrected formation energy	-1747	meV per atom
size of the total moment	1.1	μB per formula unit
crystal system	monoclinic
VASP energy	-72.1	eV per cell
space group	No. 12

[2]
RbHgBiAu after structural relaxation, computed with PBE-GGA.

extended XYZ file:
```
4
Lattice="-3.451 -3.785 1.564 5.400 -1.011 0.299 1.090 1.148 5.186" Properties=species:S:1:pos:R:3 pbc="T T T"
Rb -0.629 -1.861 3.280
Hg 2.424 -1.548 1.603
Bi 2.034 -3.116 6.116
Au 2.175 -0.231 4.241
```

Values from the calculation:
size of the total moment	0.0	μB per formula unit
crystal system	monoclinic
VASP energy	-8.8	eV per cell
space group	No. 8
formation energy from the elements	-0.0926	eV/atom

[3]
KSrCo2 after structural relaxation, computed with PBE-GGA.

extended XYZ file:
```
4
Lattice="-9.378 2.470 2.676 -8.481 0.494 5.388 -7.613 3.857 5.327" Properties=species:S:1:pos:R:3 pbc="T T T"
Co -0.157 0.042 0.082
Co -12.579 3.369 6.613
K -6.368 1.705 3.348
Sr -19.103 5.116 10.043
```

Values from the calculation:
size of the total moment	3.1	μB per formula unit
crystal system	trigonal
energy above the lowest structure with this stoichiometry	0.8418	eV per atom
VASP energy	-12.1	eV per cell
space group	No. 166
formation energy from the elements	1.2127	eV/atom